Record 1
SrSn12Os4 | PBE | optimized geometry

a b c (Å): 9.580 9.580 9.580
angles (deg): 90.00 90.00 90.00
Space group Im-3 (No. 204)
Symmetry-distinct sites (fractional):
Sr 0.000 0.000 0.000
Sn 0.000 0.334 0.167
Os 0.250 0.250 0.250

Calculated values
Density of states at the Fermi level (states/eV per cell): 26.39
Theoretical density (g/cm³): 8.59
VASP energy (eV for the cell shown): -184.1
Energy of formation from the pure elements (eV per formula unit): 2.585



Record 2
PmThSbPt | PBE | optimized geometry

a b c (Å): 7.483 7.483 7.483
angles (deg): 90.00 90.00 90.00
Space group F-43m (No. 216)
Symmetry-distinct sites (fractional):
Pm 0.000 0.000 0.000
Th 0.000 0.000 0.500
Sb 0.250 0.250 0.750
Pt 0.250 0.250 0.250

Calculated values
ΔE_f (raw) (eV per atom): -0.771
Density of states at the Fermi level (states/eV per cell): 25.47
Theoretical density (g/cm³): 11.00
VASP energy (eV for the cell shown): -101.7



Record 3
La5YSn5 | PBE | optimized geometry

a b c (Å): 17.168 6.179 7.337
angles (deg): 90.00 106.33 90.00
Space group C2/m (No. 12)
Symmetry-distinct sites (fractional):
La 0.000 0.000 0.000
La 0.157 0.500 0.271
La 0.182 0.500 0.774
Y 0.000 0.000 0.500
Sn 0.000 0.500 0.500
Sn 0.161 0.000 0.870
Sn 0.164 0.000 0.417

Calculated values
Density of states at the Fermi level (states/eV per cell): 18.20
Theoretical density (g/cm³): 6.12
VASP energy (eV for the cell shown): -114.2
Energy of formation from the pure elements (eV per formula unit): -5.988